The following is a PBE calculation of a geometry-optimized Nd5GaNi2 structure, from Alexandria.

Lattice parameters (Å, degrees): 7.871 7.871 13.300 90.00 90.00 90.00
Space group I4/mcm (No. 140)
Asymmetric unit:
Nd: 0.000 0.000 0.000 x4
Nd: 0.162 0.338 0.141 x16
Ga: 0.000 0.000 0.250 x4
Ni: 0.122 0.378 0.500 x8

uncorrected energy = -163.22 eV for the cell shown
energy of formation from the pure elements = -297 meV/atom


The following is a PBE calculation of a geometry-optimized Nd2GaNi7 structure, from Alexandria.

Lattice parameters (Å, degrees): 3.877 3.877 10.418 90.00 90.00 90.00
Space group P-4m2 (No. 115)
Asymmetric unit:
Nd: 0.000 0.500 0.236 x2
Ga: 0.000 0.000 0.500 x1
Ni: 0.000 0.000 0.000 x1
Ni: 0.000 0.500 0.639 x2
Ni: 0.000 0.500 0.863 x2
Ni: 0.500 0.500 0.000 x1
Ni: 0.500 0.500 0.500 x1

uncorrected energy = -55.55 eV for the cell shown
energy of formation from the pure elements = -252 meV/atom


The following is a PBE calculation of a geometry-optimized NdGa2Ni structure, from Alexandria.

Lattice parameters (Å, degrees): 4.225 17.589 4.150 90.00 90.00 90.00
Space group Cmmm (No. 65)
Asymmetric unit:
Nd: 0.000 0.141 0.000 x4
Ga: 0.000 0.000 0.500 x2
Ga: 0.000 0.291 0.500 x4
Ga: 0.000 0.500 0.000 x2
Ni: 0.000 0.427 0.500 x4

uncorrected energy = -76.61 eV for the cell shown
energy of formation from the pure elements = -637 meV/atom


The following is a PBE calculation of a geometry-optimized NdGa2Ni3 structure, from Alexandria.

Lattice parameters (Å, degrees): 9.435 7.834 5.198 90.00 90.00 90.00
Space group Cmcm (No. 63)
Asymmetric unit:
Nd: 0.000 0.188 0.250 x4
Ga: 0.219 0.500 0.000 x8
Ni: 0.000 0.448 0.750 x4
Ni: 0.170 0.222 0.750 x8

uncorrected energy = -123.55 eV for the cell shown
energy of formation from the pure elements = -454 meV/atom


The following is a PBE calculation of a geometry-optimized Nd2Ga4Ni3 structure, from Alexandria.

Lattice parameters (Å, degrees): 5.236 9.633 12.691 90.00 90.00 90.00
Space group Fmmm (No. 69)
Asymmetric unit:
Nd: 0.000 0.000 0.130 x8
Ga: 0.000 0.176 0.345 x16
Ni: 0.000 0.000 0.500 x4
Ni: 0.250 0.250 0.000 x8

uncorrected energy = -172.37 eV for the cell shown
energy of formation from the pure elements = -456 meV/atom


The following is a PBE calculation of a geometry-optimized NdGa4Ni2Pd structure, from Alexandria.

Lattice parameters (Å, degrees): 4.1684 4.1684 26.8343 90.00 90.00 120.00
Space group R-3m (No. 166, hexagonal axes)
Asymmetric unit:
Nd: 0.0000 0.0000 0.0000 x3
Ga: 0.0000 0.0000 0.1270 x6
Ga: 0.0000 0.0000 0.4025 x6
Ni: 0.0000 0.0000 0.2297 x6
Pd: 0.0000 0.0000 0.5000 x3

uncorrected energy = -112.98 eV for the cell shown
energy of formation from the pure elements = -504 meV/atom


The following is a PBE calculation of a geometry-optimized NdGa5Ni2Pd structure, from Alexandria.

Lattice parameters (Å, degrees): 4.671 4.671 7.141 90.00 90.00 90.00
Space group P4/mmm (No. 123)
Asymmetric unit:
Nd: 0.000 0.000 0.000 x1
Ga: 0.000 0.500 0.306 x4
Ga: 0.500 0.500 0.000 x1
Ni: 0.500 0.500 0.320 x2
Pd: 0.000 0.000 0.500 x1

uncorrected energy = -39.85 eV for the cell shown
energy of formation from the pure elements = -355 meV/atom


The following is a PBE calculation of a geometry-optimized NdGa4NiPd2 structure, from Alexandria.

Lattice parameters (Å, degrees): 4.2671 4.2671 26.4140 90.00 90.00 120.00
Space group R-3m (No. 166, hexagonal axes)
Asymmetric unit:
Nd: 0.0000 0.0000 0.0000 x3
Ga: 0.0000 0.0000 0.1353 x6
Ga: 0.0000 0.0000 0.4028 x6
Ni: 0.0000 0.0000 0.5000 x3
Pd: 0.0000 0.0000 0.2362 x6

uncorrected energy = -113.48 eV for the cell shown
energy of formation from the pure elements = -598 meV/atom


The following is a PBE calculation of a geometry-optimized Nd2Ga3Ni4Pd structure, from Alexandria.

Lattice parameters (Å, degrees): 3.945 3.945 10.989 90.00 90.00 90.00
Space group P-4m2 (No. 115)
Asymmetric unit:
Nd: 0.000 0.500 0.242 x2
Ga: 0.000 0.000 0.000 x1
Ga: 0.000 0.500 0.626 x2
Ni: 0.000 0.000 0.500 x1
Ni: 0.000 0.500 0.849 x2
Ni: 0.500 0.500 0.500 x1
Pd: 0.500 0.500 0.000 x1

uncorrected energy = -52.14 eV for the cell shown
energy of formation from the pure elements = -521 meV/atom


The following is a PBE calculation of a geometry-optimized PmNd2Ga2Ni2 structure, from Alexandria.

Lattice parameters (Å, degrees): 4.3493 4.3493 29.4851 90.00 90.00 120.00
Space group R-3m (No. 166, hexagonal axes)
Asymmetric unit:
Pm: 0.0000 0.0000 0.0000 x3
Nd: 0.0000 0.0000 0.1192 x6
Ga: 0.0000 0.0000 0.2702 x6
Ni: 0.0000 0.0000 0.3965 x6

uncorrected energy = -105.17 eV for the cell shown
energy of formation from the pure elements = -450 meV/atom


The following is a PBE calculation of a geometry-optimized Pr2NdGa2Ni2 structure, from Alexandria.

Lattice parameters (Å, degrees): 4.3626 4.3626 29.8373 90.00 90.00 120.00
Space group R-3m (No. 166, hexagonal axes)
Asymmetric unit:
Pr: 0.0000 0.0000 0.1194 x6
Nd: 0.0000 0.0000 0.0000 x3
Ga: 0.0000 0.0000 0.2701 x6
Ni: 0.0000 0.0000 0.3967 x6

uncorrected energy = -105.03 eV for the cell shown
energy of formation from the pure elements = -438 meV/atom


The following is a PBE calculation of a geometry-optimized Nd2GaNi3Pt12 structure, from Alexandria.

Lattice parameters (Å, degrees): 8.0228 8.0228 19.3008 90.00 90.00 120.00
Space group R-3m (No. 166, hexagonal axes)
Asymmetric unit:
Nd: 0.0000 0.0000 0.1190 x6
Ga: 0.0000 0.0000 0.5000 x3
Ni: 0.0000 0.5000 0.0000 x9
Pt: 0.0031 0.5016 0.8742 x18
Pt: 0.0074 0.5037 0.3735 x18

uncorrected energy = -311.32 eV for the cell shown
energy of formation from the pure elements = -77 meV/atom


The following is a PBE calculation of a geometry-optimized NdGaNi2Pt2 structure, from Alexandria.

Lattice parameters (Å, degrees): 4.670 4.670 5.433 90.00 90.00 90.00
Space group P4/mmm (No. 123)
Asymmetric unit:
Nd: 0.000 0.000 0.000 x1
Ga: 0.000 0.000 0.500 x1
Ni: 0.500 0.500 0.264 x2
Pt: 0.000 0.500 0.500 x2

uncorrected energy = -31.17 eV for the cell shown
energy of formation from the pure elements = 45 meV/atom


The following is a PBE calculation of a geometry-optimized NdGa2NiPt4 structure, from Alexandria.

Lattice parameters (Å, degrees): 4.2956 4.2956 26.1121 90.00 90.00 120.00
Space group R-3m (No. 166, hexagonal axes)
Asymmetric unit:
Nd: 0.0000 0.0000 0.0000 x3
Ga: 0.0000 0.0000 0.2378 x6
Ni: 0.0000 0.0000 0.5000 x3
Pt: 0.0000 0.0000 0.1338 x6
Pt: 0.0000 0.0000 0.4033 x6

uncorrected energy = -138.47 eV for the cell shown
energy of formation from the pure elements = -674 meV/atom


The following is a PBE calculation of a geometry-optimized NdGa2Ni5Pt structure, from Alexandria.

Lattice parameters (Å, degrees): 4.552 4.552 6.846 90.00 90.00 90.00
Space group P4/mmm (No. 123)
Asymmetric unit:
Nd: 0.000 0.000 0.000 x1
Ga: 0.500 0.500 0.326 x2
Ni: 0.000 0.500 0.305 x4
Ni: 0.500 0.500 0.000 x1
Pt: 0.000 0.000 0.500 x1

uncorrected energy = -45.77 eV for the cell shown
energy of formation from the pure elements = 0 meV/atom


The following is a PBE calculation of a geometry-optimized NdGa2NiPt2 structure, from Alexandria.

Lattice parameters (Å, degrees): 3.977 3.977 15.451 90.00 90.00 90.00
Space group I4/mmm (No. 139)
Asymmetric unit:
Nd: 0.000 0.000 0.000 x2
Ga: 0.000 0.000 0.351 x4
Ni: 0.000 0.000 0.500 x2
Pt: 0.000 0.500 0.250 x4

uncorrected energy = -63.52 eV for the cell shown
energy of formation from the pure elements = -513 meV/atom


The following is a PBE calculation of a geometry-optimized NdGa4Ni2Pt structure, from Alexandria.

Lattice parameters (Å, degrees): 4.1723 4.1723 26.9033 90.00 90.00 120.00
Space group R-3m (No. 166, hexagonal axes)
Asymmetric unit:
Nd: 0.0000 0.0000 0.0000 x3
Ga: 0.0000 0.0000 0.1266 x6
Ga: 0.0000 0.0000 0.4020 x6
Ni: 0.0000 0.0000 0.2295 x6
Pt: 0.0000 0.0000 0.5000 x3

uncorrected energy = -115.75 eV for the cell shown
energy of formation from the pure elements = -513 meV/atom


The following is a PBE calculation of a geometry-optimized NdGa3NiPt structure, from Alexandria.

Lattice parameters (Å, degrees): 6.198 12.000 6.027 90.00 90.00 90.00
Space group Cmcm (No. 63)
Asymmetric unit:
Nd: 0.000 0.234 0.250 x4
Ga: 0.000 0.347 0.750 x4
Ga: 0.211 0.000 0.000 x8
Ni: 0.000 0.459 0.250 x4
Pt: 0.000 0.143 0.750 x4

uncorrected energy = -115.59 eV for the cell shown
energy of formation from the pure elements = -538 meV/atom


The following is a PBE calculation of a geometry-optimized Nd2Ga4NiPt3 structure, from Alexandria.

Lattice parameters (Å, degrees): 4.254 4.254 10.524 90.00 90.00 90.00
Space group P-4m2 (No. 115)
Asymmetric unit:
Nd: 0.000 0.500 0.248 x2
Ga: 0.000 0.000 0.500 x1
Ga: 0.000 0.500 0.876 x2
Ga: 0.500 0.500 0.500 x1
Ni: 0.500 0.500 0.000 x1
Pt: 0.000 0.000 0.000 x1
Pt: 0.000 0.500 0.636 x2

uncorrected energy = -54.23 eV for the cell shown
energy of formation from the pure elements = -869 meV/atom


The following is a PBE calculation of a geometry-optimized Nd2Ga3Ni12Pt structure, from Alexandria.

Lattice parameters (Å, degrees): 5.9630 5.9630 26.9999 90.00 90.00 120.00
Space group R-3m (No. 166, hexagonal axes)
Asymmetric unit:
Nd: 0.0000 0.0000 0.1417 x6
Ga: 0.0000 0.5000 0.0000 x9
Ni: 0.0331 0.5165 0.8991 x18
Ni: 0.0710 0.5355 0.6217 x18
Pt: 0.0000 0.0000 0.5000 x3

uncorrected energy = -282.45 eV for the cell shown
energy of formation from the pure elements = -7 meV/atom